A crystal of SrOs3Pd relaxed with PBEsol, computed with meta-GGA SCAN.

Cell lengths 4.7533, 4.7533, 4.7533 Å; angles 90.00, 90.00, 90.00 degrees
Element x y z (fractional)
Sr (0.0000, 0.0000, 0.0000)
Os (0.0000, 0.5000, 0.5000)
Os (0.5000, 0.0000, 0.5000)
Os (0.5000, 0.5000, 0.0000)
Pd (0.5000, 0.5000, 0.5000)

* DOS at the Fermi energy: 7.464 states/eV/f.u.
* electronic total energy: -52.049 eV per atom
* M_tot: 2.93 μB per cell

***

A crystal of RbCoGeIr2 relaxed with PBEsol, computed with meta-GGA SCAN.

Cell lengths 4.6587, 4.6587, 4.5814 Å; angles 90.00, 90.00, 90.00 degrees
Element x y z (fractional)
Rb (0.0000, 0.0000, 0.0000)
Co (0.5000, 0.5000, 0.0000)
Ge (0.5000, 0.5000, 0.5000)
Ir (0.0000, 0.5000, 0.5000)
Ir (0.5000, 0.0000, 0.5000)

* DOS at the Fermi energy: 2.484 states/eV/f.u.
* electronic total energy: -38.903 eV per atom
* M_tot: 2.36 μB per cell

***

A crystal of CuPbW2 relaxed with PBEsol, computed with meta-GGA SCAN.

Cell lengths 5.2255, 5.2255, 5.2255 Å; angles 136.89, 136.89, 62.61 degrees
Element x y z (fractional)
Cu (0.0000, 0.0000, 0.0000)
Pb (0.5000, 0.5000, 0.0000)
W (0.2500, 0.7500, 0.5000)
W (0.7500, 0.2500, 0.5000)

* DOS at the Fermi energy: 3.332 states/eV/f.u.
* electronic total energy: -56.686 eV per atom
* M_tot: 0.00 μB per cell

***

A crystal of Tm6GaCo2 relaxed with PBEsol, computed with meta-GGA SCAN.

Cell lengths 8.0039, 8.0039, 8.0039 Å; angles 111.97, 109.81, 106.67 degrees
Element x y z (fractional)
Tm (0.0412, 0.2393, 0.8019)
Tm (0.1816, 0.2806, 0.4622)
Tm (0.1816, 0.7194, 0.9010)
Tm (0.3262, 0.0155, 0.6893)
Tm (0.3262, 0.6369, 0.3107)
Tm (0.4374, 0.2393, 0.1981)
Tm (0.5626, 0.7607, 0.8019)
Tm (0.6738, 0.3631, 0.6893)
Tm (0.6738, 0.9845, 0.3107)
Tm (0.8184, 0.2806, 0.0990)
Tm (0.8184, 0.7194, 0.5378)
Tm (0.9588, 0.7607, 0.1981)
Ga (0.0000, 0.0000, 0.0000)
Ga (0.5000, 0.5000, 0.0000)
Co (0.1161, 0.6161, 0.5000)
Co (0.3380, 0.0000, 0.3380)
Co (0.6620, 0.0000, 0.6620)
Co (0.8839, 0.3839, 0.5000)

* DOS at the Fermi energy: 6.643 states/eV/f.u.
* electronic total energy: -40.528 eV per atom
* M_tot: 0.00 μB per cell

***

A crystal of LiZrCr relaxed with PBEsol, computed with meta-GGA SCAN.

Cell lengths 5.5842, 5.5842, 5.5842 Å; angles 146.99, 146.99, 47.38 degrees
Element x y z (fractional)
Li (0.0000, 0.0000, 0.0000)
Zr (0.2995, 0.2995, 0.0000)
Cr (0.6443, 0.6443, 0.0000)

* DOS at the Fermi energy: 0.890 states/eV/f.u.
* electronic total energy: -16.907 eV per atom
* relative energy among the computed polymorphs: 0 meV per atom
* M_tot: 2.83 μB per cell

***

A crystal of LiNi3O3F relaxed with PBEsol, computed with meta-GGA SCAN.

Cell lengths 2.8464, 2.8464, 8.5145 Å; angles 90.00, 90.00, 90.00 degrees
Element x y z (fractional)
Li (0.0000, 0.0000, 0.0000)
Ni (0.0000, 0.0000, 0.5000)
Ni (0.5000, 0.5000, 0.2569)
Ni (0.5000, 0.5000, 0.7431)
O (0.0000, 0.0000, 0.2539)
O (0.0000, 0.0000, 0.7461)
O (0.5000, 0.5000, 0.5000)
F (0.5000, 0.5000, 0.0000)

* DOS at the Fermi energy: 0.050 states/eV/f.u.
* formation energy without anion corrections: -38.15 kcal/mol of atoms
* electronic total energy: -10.797 eV per atom
* M_tot: 6.00 μB per cell